Below is a relaxed MoP2Br crystal, with properties calculated at the PBE level.

Geometry as POSCAR:
```
MoP2Br
1.0
3.085 0.000 0.000
0.000 6.277 0.000
0.000 0.000 9.262
Mo P Br
2 4 2
direct
0.000 0.000 0.000
0.500 0.500 0.000
0.000 0.000 0.377
0.000 0.500 0.219
0.500 0.000 0.219
0.500 0.500 0.377
0.000 0.500 0.783
0.500 0.000 0.783
```

Values from the calculation:
Raw formation energy ... 492 meV per atom
SG ... Cmm2 (35)
Total magnetic moment ... 0.38 μB per atom